Entry 1:
Compound: Rb2Na2ZnAs2
Source: OQMD
Functional: GGA-PBE
Structure: relaxed

Energy above the lowest structure with this stoichiometry: 23 meV per atom
V: 33.8 A^3/atom
Mass density: 3.03 g/cm3

Cell lengths 5.7157, 5.7157, 25.1177 Å; angles 90.00, 90.00, 120.00 degrees
Space group R-3m (No. 166, hexagonal axes)
Unique sites:
Rb: 0.0000 0.0000 0.1129 [6 per cell]
Na: 0.0000 0.0000 0.2917 [6 per cell]
Zn: 0.0000 0.0000 0.5000 [3 per cell]
As: 0.0000 0.0000 0.4074 [6 per cell]

Entry 2:
Compound: Tc2AgW
Source: OQMD
Functional: GGA-PBE
Structure: relaxed

V: 15.6 A^3/atom
Total moment: 0.00 μB per formula unit
ΔE_f: 645 meV per atom
Mass density: 12.94 g/cm3

Cell lengths 6.3026, 6.3026, 6.3026 Å; angles 90.00, 90.00, 90.00 degrees
Space group F-43m (No. 216)
Unique sites:
Tc: 0.0000 0.0000 0.0000 [4 per cell]
Tc: 0.2500 0.2500 0.2500 [4 per cell]
Ag: 0.0000 0.0000 0.5000 [4 per cell]
W: 0.2500 0.2500 0.7500 [4 per cell]

Entry 3:
Compound: HoEr2Tm3CuSe2
Source: OQMD
Functional: GGA-PBE
Structure: relaxed

Final energy: -88.27 eV/cell
V: 23.9 A^3/atom
Total moment: 1.79 μB per formula unit
Mass density: 9.46 g/cm3

Cell lengths 3.8130, 13.9814, 8.0820 Å; angles 90.00, 90.00, 90.00 degrees
Space group Amm2 (No. 38)
Unique sites:
Ho: 0.0000 0.0000 0.0000 [2 per cell]
Er: 0.0000 0.2044 0.6141 [4 per cell]
Tm: 0.5000 0.0000 0.6575 [2 per cell]
Tm: 0.5000 0.1241 0.2857 [4 per cell]
Cu: 0.0000 0.0000 0.4103 [2 per cell]
Se: 0.5000 0.1667 0.9097 [4 per cell]